1.
A geometry-optimized HoThPa4 structure, computed with GGA-PBE.

Results
As for the total energy: -8.17 eV per atom. For the volume, the calculation gives 27.12 A^3/atom. For the formation energy, the calculation gives 162 meV per atom. The magnetization is 0.0 μB per formula unit.

a = 6.128 Å, b = 6.128 Å, c = 6.128 Å
α = 60.00°, β = 60.00°, γ = 60.00°
Sites, in units of the cell vectors:
Pa 0.625 0.625 0.125
Pa 0.625 0.125 0.625
Pa 0.625 0.625 0.625
Pa 0.125 0.625 0.625
Ho 0.000 0.000 0.000
Th 0.250 0.250 0.250

2.
A geometry-optimized Pr2Al2NiPt5 structure, computed with GGA-PBE.

Results
As for the total energy: -6.06 eV per atom. For the volume, the calculation gives 18.16 A^3/atom. For the formation energy, the calculation gives -757 meV per atom. The magnetization is 0.0 μB per formula unit.

a = 3.457 Å, b = 10.251 Å, c = 10.251 Å
α = 90.00°, β = 90.00°, γ = 90.00°
Sites, in units of the cell vectors:
Pr 0.000 0.677 0.177
Pr 0.000 0.323 0.823
Pr 0.000 0.177 0.323
Pr 0.000 0.823 0.677
Al 0.000 0.126 0.626
Al 0.000 0.874 0.374
Al 0.000 0.626 0.874
Al 0.000 0.374 0.126
Ni 0.000 0.000 0.000
Ni 0.000 0.500 0.500
Pt 0.500 0.196 0.056
Pt 0.500 0.804 0.944
Pt 0.500 0.056 0.804
Pt 0.500 0.696 0.444
Pt 0.500 0.944 0.196
Pt 0.500 0.304 0.556
Pt 0.500 0.556 0.696
Pt 0.500 0.444 0.304
Pt 0.500 0.500 0.000
Pt 0.500 0.000 0.500

3.
A geometry-optimized PuS3O9 structure, computed with GGA-PBE.

Results
As for the total energy: -7.04 eV per atom. As for the uncorrected formation energy: -1.55 eV per atom. For the volume, the calculation gives 17.88 A^3/atom. The magnetization is 4.0 μB per formula unit.

a = 8.604 Å, b = 8.165 Å, c = 8.968 Å
α = 68.81°, β = 61.34°, γ = 58.21°
Sites, in units of the cell vectors:
Pu 0.999 0.502 0.002
Pu 0.497 0.002 0.502
S 0.873 0.539 0.635
S 0.953 0.039 0.135
S 0.045 0.962 0.792
S 0.202 0.462 0.292
S 0.514 0.237 0.757
S 0.492 0.737 0.257
O 0.283 0.251 0.380
O 0.086 0.751 0.880
O 0.301 0.299 0.895
O 0.505 0.799 0.395
O 0.238 0.974 0.737
O 0.051 0.474 0.237
O 0.697 0.704 0.111
O 0.488 0.204 0.611
O 0.775 0.012 0.270
O 0.944 0.512 0.770
O 0.709 0.740 0.630
O 0.922 0.240 0.130
O 0.480 0.553 0.328
O 0.639 0.053 0.828
O 0.565 0.397 0.695
O 0.343 0.897 0.195
O 0.898 0.089 0.947
O 0.065 0.589 0.447

> Which formula does entry 2 have?

Pr2Al2NiPt5

What did the second record say?
A geometry-optimized Pr2Al2NiPt5 structure, computed with GGA-PBE.

Results
As for the total energy: -6.06 eV per atom. For the volume, the calculation gives 18.16 A^3/atom. For the formation energy, the calculation gives -757 meV per atom. The magnetization is 0.0 μB per formula unit.

a = 3.457 Å, b = 10.251 Å, c = 10.251 Å
α = 90.00°, β = 90.00°, γ = 90.00°
Sites, in units of the cell vectors:
Pr 0.000 0.677 0.177
Pr 0.000 0.323 0.823
Pr 0.000 0.177 0.323
Pr 0.000 0.823 0.677
Al 0.000 0.126 0.626
Al 0.000 0.874 0.374
Al 0.000 0.626 0.874
Al 0.000 0.374 0.126
Ni 0.000 0.000 0.000
Ni 0.000 0.500 0.500
Pt 0.500 0.196 0.056
Pt 0.500 0.804 0.944
Pt 0.500 0.056 0.804
Pt 0.500 0.696 0.444
Pt 0.500 0.944 0.196
Pt 0.500 0.304 0.556
Pt 0.500 0.556 0.696
Pt 0.500 0.444 0.304
Pt 0.500 0.500 0.000
Pt 0.500 0.000 0.500

Repeat the first record exactly.
A geometry-optimized HoThPa4 structure, computed with GGA-PBE.

Results
As for the total energy: -8.17 eV per atom. For the volume, the calculation gives 27.12 A^3/atom. For the formation energy, the calculation gives 162 meV per atom. The magnetization is 0.0 μB per formula unit.

a = 6.128 Å, b = 6.128 Å, c = 6.128 Å
α = 60.00°, β = 60.00°, γ = 60.00°
Sites, in units of the cell vectors:
Pa 0.625 0.625 0.125
Pa 0.625 0.125 0.625
Pa 0.625 0.625 0.625
Pa 0.125 0.625 0.625
Ho 0.000 0.000 0.000
Th 0.250 0.250 0.250